A:
Here is a geometry-optimized CePd6Pb structure from Alexandria via LeMat-Bulk. Energies are from PBE-GGA.

abc: 4.1386 4.1386 8.2484
angles: 90.00 90.00 90.00
With the nearest neighbours (Å) after each atom.
Space group P4/mmm (No. 123)
Symmetry-distinct sites (fractional):
Ce1 0.0000 0.0000 0.0000  12 Pd 2.90-2.93
Pd1 0.0000 0.5000 0.2467  2 Ce 2.90, 8 Pd 2.90-2.94, 2 Pb 2.94
Pd2 0.5000 0.5000 0.0000  8 Pd 2.90, 4 Ce 2.93
Pd3 0.5000 0.5000 0.5000  4 Pb 2.93, 8 Pd 2.94
Pb1 0.0000 0.0000 0.5000  12 Pd 2.93-2.94

**Size of the total moment**: 0.2 μB/cell

***

B:
Here is a geometry-optimized CePd6Pb structure from Alexandria via LeMat-Bulk. Energies are from PBE-GGA.

abc: 7.3034 7.3034 10.7232
angles: 90.00 90.00 120.00
With the nearest neighbours (Å) after each atom.
Space group R-3m (No. 166, hexagonal axes)
Symmetry-distinct sites (fractional):
Ce1 0.0000 0.0000 0.0000  6 Pd 2.67
Pd1 0.0810 0.5405 0.3820  1 Ce 2.67, 5 Pd 2.73-2.82, 1 Pb 2.81
Pb1 0.0000 0.0000 0.5000  6 Pd 2.81

**Size of the total moment**: 0.0 μB/cell

***

Which structure is most stable, and how do the rest compare? From most to least stable: A, B.

***

A:
Here is a geometry-optimized CePdPb2 structure from Alexandria via LeMat-Bulk. Energies are from PBE-GGA.

abc: 3.4049 3.4049 32.3468
angles: 90.00 90.00 120.00
With the nearest neighbours (Å) after each atom.
Space group R-3m (No. 166, hexagonal axes)
Symmetry-distinct sites (fractional):
Ce1 0.0000 0.0000 0.0000  2 Pb 3.27, 6 Ce 3.40
Pd1 0.0000 0.0000 0.5000  6 Pb 2.89
Pb1 0.0000 0.0000 0.1012  3 Pd 2.89

**Size of the total moment**: 3.8 μB/cell

***

B:
Here is a geometry-optimized CePdPb2 structure from Alexandria via LeMat-Bulk. Energies are from PBE-GGA.

abc: 4.6686 4.6686 4.6457
angles: 90.00 90.00 90.00
With the nearest neighbours (Å) after each atom.
Space group P4/mmm (No. 123)
Symmetry-distinct sites (fractional):
Ce1 0.0000 0.0000 0.0000  8 Pb 3.29, 4 Pd 3.30
Pd1 0.5000 0.5000 0.0000  8 Pb 3.29, 4 Ce 3.30
Pb1 0.0000 0.5000 0.5000  4 Ce 3.29, 4 Pd 3.29, 4 Pb 3.30

**Size of the total moment**: 1.0 μB/cell

***

Which structure is most stable, and how do the rest compare? From most to least stable: B, A.

***

A:
Here is a geometry-optimized Ce2Pm3Pb3 structure from Alexandria via LeMat-Bulk. Energies are from PBE-GGA.

abc: 4.4507 4.8642 22.3011
angles: 90.00 90.00 90.00
With the nearest neighbours (Å) after each atom.
Space group Immm (No. 71)
Symmetry-distinct sites (fractional):
Ce1 0.0000 0.0000 0.2482  4 Ce 3.30, 4 Pb 3.35-3.55, 2 Pm 3.69
Pm1 0.0000 0.0000 0.0000  4 Pb 3.30, 4 Pm 3.61
Pm2 0.0000 0.5000 0.1197  6 Pb 3.32-3.48, 2 Pm 3.61, 2 Ce 3.69
Pb1 0.0000 0.0000 0.5000  8 Pm 3.30-3.48
Pb2 0.0000 0.5000 0.3643  4 Pm 3.32, 4 Ce 3.35-3.55

**Size of the total moment**: 3.3 μB/cell

***

B:
Here is a geometry-optimized Ce2Pm3Pb3 structure from Alexandria via LeMat-Bulk. Energies are from PBE-GGA.

abc: 9.4534 9.4534 6.5575
angles: 90.00 90.00 120.00
With the nearest neighbours (Å) after each atom.
Space group P6_3/mcm (No. 193)
Symmetry-distinct sites (fractional):
Ce1 0.3333 0.6667 0.0000  2 Ce 3.28, 6 Pb 3.35
Pm1 0.0000 0.2434 0.2500  5 Pb 3.22-3.56
Pb1 0.0000 0.3895 0.7500  5 Pm 3.22-3.56, 4 Ce 3.35

**Size of the total moment**: 5.5 μB/cell

***

Which structure is most stable, and how do the rest compare? From most to least stable: B, A.

***

A:
Here is a geometry-optimized CePm2Pb2 structure from Alexandria via LeMat-Bulk. Energies are from PBE-GGA.

abc: 5.2549 5.2549 12.8964
angles: 90.00 90.00 120.00
With the nearest neighbours (Å) after each atom.
Space group P6_3/mmc (No. 194)
Symmetry-distinct sites (fractional):
Ce1 0.0000 0.0000 0.2500  5 Pm 3.03-3.22
Pm1 0.0000 0.0000 0.0000  2 Ce 3.22, 6 Pb 3.41
Pm2 0.3333 0.6667 0.2500  3 Ce 3.03
Pb1 0.3333 0.6667 0.6209  1 Pb 3.33, 6 Pm 3.41-3.46, 3 Ce 3.46

**Size of the total moment**: 0.0 μB/cell

***

B:
Here is a geometry-optimized CePm2Pb2 structure from Alexandria via LeMat-Bulk. Energies are from PBE-GGA.

abc: 5.0681 19.0582 6.6871
angles: 90.00 90.00 90.00
With the nearest neighbours (Å) after each atom.
Space group Cmc2_1 (No. 36)
Symmetry-distinct sites (fractional):
Ce1 0.0000 0.0975 0.0000  5 Pb 3.12-3.38
Pm1 0.0000 0.3073 0.0041  6 Pb 3.32-3.35
Pm2 0.0000 0.4992 0.7509  2 Pm 3.34, 4 Pb 3.39-3.40, 4 Ce 3.55-3.56
Pb1 0.0000 0.0799 0.5009  6 Pm 3.32-3.40, 3 Ce 3.35-3.38
Pb2 0.0000 0.3071 0.5050  2 Ce 3.12, 4 Pm 3.34-3.35

**Size of the total moment**: 5.4 μB/cell

***

Which structure is most stable, and how do the rest compare? From most to least stable: B, A.

***

A:
Here is a geometry-optimized Ce2PmPb structure from Alexandria via LeMat-Bulk. Energies are from PBE-GGA.

abc: 4.2889 4.2889 6.8179
angles: 90.00 90.00 90.00
With the nearest neighbours (Å) after each atom.
Space group P4/mmm (No. 123)
Symmetry-distinct sites (fractional):
Ce1 0.0000 0.0000 0.2045  1 Ce 2.79
Pm1 0.5000 0.5000 0.5000  2 Pb 3.41, 8 Ce 3.64
Pb1 0.5000 0.5000 0.0000  8 Ce 3.34, 2 Pm 3.41

**Size of the total moment**: 2.2 μB/cell

***

B:
Here is a geometry-optimized Ce2PmPb structure from Alexandria via LeMat-Bulk. Energies are from PBE-GGA.

abc: 4.5707 4.4324 11.7059
angles: 90.00 99.51 90.00
With the nearest neighbours (Å) after each atom.
Space group P2_1/m (No. 11)
Symmetry-distinct sites (fractional):
Ce1 0.0038 0.2500 0.3879  2 Ce 2.84
Ce2 0.3922 0.7500 0.3880  2 Ce 2.84
Pm1 0.3016 0.2500 0.1117  5 Pb 3.24-3.28
Pb1 0.1800 0.2500 0.8277  5 Pm 3.24-3.28, 4 Ce 3.32-3.44

**Size of the total moment**: 0.0 μB/cell

***

Which structure is most stable, and how do the rest compare? From most to least stable: B, A.

***

A:
Here is a geometry-optimized CePmTePb structure from Alexandria via LeMat-Bulk. Energies are from PBE-GGA.

abc: 7.7906 7.7906 7.7906
angles: 90.00 90.00 90.00
With the nearest neighbours (Å) after each atom.
Space group F-43m (No. 216)
Symmetry-distinct sites (fractional):
Ce1 0.0000 0.0000 0.0000  4 Pb 3.37, 4 Te 3.37
Pm1 0.0000 0.0000 0.5000  4 Te 3.37, 4 Pb 3.37
Te1 0.2500 0.2500 0.2500  4 Ce 3.37, 4 Pm 3.37
Pb1 0.2500 0.2500 0.7500  4 Pm 3.37, 4 Ce 3.37

**Size of the total moment**: 4.3 μB/cell

***

B:
Here is a geometry-optimized CePmTePb structure from Alexandria via LeMat-Bulk. Energies are from PBE-GGA.

abc: 4.5324 4.5324 22.1672
angles: 90.00 90.00 120.00
With the nearest neighbours (Å) after each atom.
Space group R3m (No. 160, hexagonal axes)
Symmetry-distinct sites (fractional):
Ce1 0.0000 0.0000 0.0000  3 Pb 3.18, 3 Te 3.23
Pm1 0.0000 0.0000 0.5030  3 Pb 3.19, 3 Te 3.22
Te1 0.0000 0.0000 0.7517  3 Pm 3.22, 3 Ce 3.23
Pb1 0.0000 0.0000 0.2519  3 Ce 3.18, 3 Pm 3.19

**Size of the total moment**: 2.4 μB/cell

***

Which structure is most stable, and how do the rest compare? From most to least stable: B, A.

***

A:
Here is a geometry-optimized CePr2Pb3 structure from Alexandria via LeMat-Bulk. Energies are from PBE-GGA.

abc: 7.9279 13.8303 7.9896
angles: 90.00 109.61 90.00
With the nearest neighbours (Å) after each atom.
Space group C2/c (No. 15)
Symmetry-distinct sites (fractional):
Ce1 0.0000 0.0868 0.2500  6 Pb 3.21-3.22
Pr1 0.0000 0.2540 0.7500  6 Pb 3.25-3.29
Pr2 0.0000 0.4173 0.2500  6 Pb 3.26-3.30
Pb1 0.2385 0.0804 0.9953  2 Ce 3.21, 4 Pr 3.27-3.30
Pb2 0.2500 0.2500 0.5000  2 Ce 3.22, 4 Pr 3.25-3.26

**Size of the total moment**: 2.2 μB/cell

***

B:
Here is a geometry-optimized CePr2Pb3 structure from Alexandria via LeMat-Bulk. Energies are from PBE-GGA.

abc: 5.9591 17.9212 6.9131
angles: 90.00 90.00 90.00
With the nearest neighbours (Å) after each atom.
Space group C2/m (No. 12)
Symmetry-distinct sites (fractional):
Ce1 0.0000 0.1653 0.0000  8 Pb 3.43-3.46, 2 Pr 3.46
Pr1 0.0000 0.1666 0.5000  8 Pb 3.44-3.45, 2 Ce 3.46
Pr2 0.0000 0.5000 0.0000  8 Pb 3.44-3.46, 2 Pr 3.46
Pr3 0.0000 0.5000 0.5000  8 Pb 3.44-3.47, 2 Pr 3.46
Pb1 0.9997 0.3326 0.2490  3 Ce 3.44-3.46, 5 Pr 3.44-3.47, 2 Pb 3.44-3.47
Pb2 0.0011 0.0000 0.7492  2 Ce 3.43, 6 Pr 3.44-3.45, 2 Pb 3.45-3.47

**Size of the total moment**: 7.4 μB/cell

***

Which structure is most stable, and how do the rest compare? From most to least stable: B, A.

***

A:
Here is a geometry-optimized Ce3Pr2Pb4 structure from Alexandria via LeMat-Bulk. Energies are from PBE-GGA.

abc: 7.0530 17.8919 9.4183
angles: 90.00 90.00 90.00
With the nearest neighbours (Å) after each atom.
Space group Cmce (No. 64)
Symmetry-distinct sites (fractional):
Ce1 0.0000 0.0000 0.0000  6 Pb 2.99-3.27
Ce2 0.2500 0.2067 0.2500  5 Pb 3.15-3.42
Pr1 0.0000 0.1108 0.5835  7 Pb 3.46-3.88
Pb1 0.0000 0.1804 0.9432  5 Ce 3.24-3.42, 1 Pr 3.61
Pb2 0.2500 0.0308 0.2500  3 Ce 2.99-3.15

**Size of the total moment**: 13.4 μB/cell

***

B:
Here is a geometry-optimized Ce3Pr2Pb4 structure from Alexandria via LeMat-Bulk. Energies are from PBE-GGA.

abc: 17.0658 5.1126 6.9349
angles: 90.00 103.75 90.00
With the nearest neighbours (Å) after each atom.
Space group C2/m (No. 12)
Symmetry-distinct sites (fractional):
Ce1 0.0000 0.0000 0.0000  4 Pb 3.21
Ce2 0.1099 0.0000 0.5699  7 Pb 3.38-3.51, 1 Ce 3.64
Pr1 0.1669 0.5000 0.0865  5 Pb 3.22-3.39
Pb1 0.0038 0.5000 0.2826  1 Pb 3.05, 2 Ce 3.21, 2 Pr 3.38-3.39
Pb2 0.2424 0.5000 0.6804  3 Pr 3.22-3.36, 3 Ce 3.38

**Size of the total moment**: 6.9 μB/cell

***

Which structure is most stable, and how do the rest compare? From most to least stable: B, A.

***

A:
Here is a geometry-optimized CePrPb structure from Alexandria via LeMat-Bulk. Energies are from PBE-GGA.

abc: 4.2653 4.2653 9.9874
angles: 90.00 90.00 90.00
With the nearest neighbours (Å) after each atom.
Space group P4/nmm (No. 129, origin choice 2)
Symmetry-distinct sites (fractional):
Ce1 0.2500 0.2500 0.0912  1 Pr 3.06, 5 Pb 3.38-3.39
Pr1 0.2500 0.2500 0.3975  1 Ce 3.06, 4 Pb 3.37
Pb1 0.2500 0.2500 0.7533  5 Pr 3.37-3.55, 5 Ce 3.38-3.39

**Size of the total moment**: 1.9 μB/cell

***

B:
Here is a geometry-optimized CePrPb structure from Alexandria via LeMat-Bulk. Energies are from PBE-GGA.

abc: 4.2958 4.2958 9.8849
angles: 90.00 90.00 90.00
With the nearest neighbours (Å) after each atom.
Space group I4mm (No. 107)
Symmetry-distinct sites (fractional):
Ce1 0.0000 0.0000 0.0000  1 Pr 2.95
Pr1 0.0000 0.0000 0.7011  1 Ce 2.95
Pb1 0.0000 0.0000 0.3518  5 Ce 3.37-3.48, 5 Pr 3.38-3.45

**Size of the total moment**: 1.4 μB/cell

***

C:
Here is a geometry-optimized CePrPb structure from Alexandria via LeMat-Bulk. Energies are from PBE-GGA.

abc: 6.4504 6.4557 9.1223
angles: 90.00 91.03 90.00
With the nearest neighbours (Å) after each atom.
Space group C2/m (No. 12)
Symmetry-distinct sites (fractional):
Ce1 0.0000 0.2182 0.0000  1 Ce 2.82
Pr1 0.2489 0.0000 0.3584  5 Pb 3.29-3.37
Pb1 0.2418 0.5000 0.2716  5 Pr 3.29-3.37, 4 Ce 3.32-3.43

**Size of the total moment**: 4.6 μB/cell

***

D:
Here is a geometry-optimized CePrPb structure from Alexandria via LeMat-Bulk. Energies are from PBE-GGA.

abc: 5.4542 5.4542 3.6797
angles: 90.00 90.00 120.00
With the nearest neighbours (Å) after each atom.
Space group P3m1 (No. 156)
Symmetry-distinct sites (fractional):
Ce1 0.0000 0.0000 0.0000  3 Pb 3.34, 3 Pr 3.50, 2 Ce 3.68
Pr1 0.6667 0.3333 0.4140  3 Pb 3.32, 3 Ce 3.50, 2 Pr 3.68
Pb1 0.3333 0.6667 0.6982  3 Pr 3.32, 3 Ce 3.34, 2 Pb 3.68

**Size of the total moment**: 1.9 μB/cell

***

Which structure is most stable, and how do the rest compare? From most to least stable: C, A, B, D.

***

A:
Here is a geometry-optimized Ce2PrPb2 structure from Alexandria via LeMat-Bulk. Energies are from PBE-GGA.

abc: 9.6104 5.5490 6.5821
angles: 90.00 90.06 90.00
With the nearest neighbours (Å) after each atom.
Space group C2/m (No. 12)
Symmetry-distinct sites (fractional):
Ce1 0.1665 0.0000 0.2170  5 Pb 3.23-3.30
Pr1 0.0000 0.5000 0.5000  6 Pb 3.51, 6 Ce 3.71
Pb1 0.1668 0.0000 0.7187  5 Ce 3.23-3.30, 3 Pr 3.51

**Size of the total moment**: 5.7 μB/cell

***

B:
Here is a geometry-optimized Ce2PrPb2 structure from Alexandria via LeMat-Bulk. Energies are from PBE-GGA.

abc: 6.2476 6.3285 8.2818
angles: 90.00 110.98 90.00
With the nearest neighbours (Å) after each atom.
Space group C2/m (No. 12)
Symmetry-distinct sites (fractional):
Ce1 0.0000 0.2204 0.0000  1 Ce 2.79
Pr1 0.0000 0.0000 0.5000  8 Pb 3.40-3.54
Pb1 0.0799 0.5000 0.6942  1 Pb 3.01, 4 Ce 3.24-3.27

**Size of the total moment**: 2.2 μB/cell

***

Which structure is most stable, and how do the rest compare? From most to least stable: B, A.

***

A:
Here is a geometry-optimized Ce5PtPb2 structure from Alexandria via LeMat-Bulk. Energies are from PBE-GGA.

abc: 5.5116 17.3075 12.3802
angles: 90.00 90.00 90.00
With the nearest neighbours (Å) after each atom.
Space group Cmcm (No. 63)
Symmetry-distinct sites (fractional):
Ce1 0.0000 0.0504 0.0905  1 Ce 2.84, 1 Pt 2.89, 1 Pb 3.09
Ce2 0.0000 0.2761 0.0549  1 Pt 3.01, 2 Ce 3.20, 3 Pb 3.29-3.35
Ce3 0.0000 0.3108 0.7500  2 Pt 2.77
Pt1 0.0000 0.1721 0.2500  6 Ce 2.77-3.01
Pb1 0.0000 0.1347 0.6299  1 Pb 2.97, 4 Ce 3.09-3.29

**Size of the total moment**: 25.2 μB/cell

***

B:
Here is a geometry-optimized Ce5PtPb2 structure from Alexandria via LeMat-Bulk. Energies are from PBE-GGA.

abc: 7.9634 12.5096 4.7794
angles: 90.00 90.00 90.00
With the nearest neighbours (Å) after each atom.
Space group Pbam (No. 55)
Symmetry-distinct sites (fractional):
Ce1 0.0000 0.0000 0.0000  4 Pb 3.30, 4 Ce 3.48
Ce2 0.1373 0.2917 0.0000  1 Pt 2.83
Ce3 0.1974 0.5617 0.5000  2 Pt 2.96
Pt1 0.0000 0.5000 0.0000  6 Ce 2.83-2.96
Pb1 0.0837 0.8261 0.5000  9 Ce 3.29-3.43

**Size of the total moment**: 10.4 μB/cell

***

Which structure is most stable, and how do the rest compare? From most to least stable: B, A.